1.
First-principles (GGA-PBE) data for a geometry-optimized Si2Ag2Sb structure, as listed in Alexandria via LeMat-Bulk.

Results
* space group: I4/mmm (139)
* calculated volume: 19.7 Å³ per atom
* formation energy (no corrections): 327 meV/atom

Geometry as extended XYZ:
```
5
Lattice="4.202 0.000 0.000 0.000 4.202 0.000 2.101 2.101 5.566" Properties=species:S:1:pos:R:3 pbc="T T T"
Sb 0.000 0.000 0.000
Si 2.101 2.101 1.156
Si 4.202 4.202 4.410
Ag 4.202 2.101 2.783
Ag 2.101 4.202 2.783
```

=====

2.
First-principles (GGA-PBE) data for a geometry-optimized Ce2PmRhN4 structure, as listed in Alexandria via LeMat-Bulk.

Results
* space group: Cmcm (63)
* calculated volume: 15.1 Å³ per atom
* formation energy (no corrections): -1042 meV/atom

Geometry as extended XYZ:
```
16
Lattice="3.427 0.000 0.000 -1.714 5.948 0.000 0.000 0.000 11.814" Properties=species:S:1:pos:R:3 pbc="T T T"
Ce 0.000 4.402 6.531
Ce 1.714 1.546 0.624
Ce 1.714 1.546 5.283
Ce 0.000 4.402 11.190
Pm 0.000 1.331 8.861
Pm 1.714 4.618 2.954
Rh 1.714 4.168 8.861
Rh 0.000 1.780 2.954
N 0.000 3.252 1.414
N 1.714 2.696 7.321
N 1.714 2.696 10.400
N 0.000 3.252 4.493
N 0.000 0.000 5.907
N 0.000 0.000 0.000
N 0.000 5.442 8.861
N 1.714 0.506 2.954
```

=====

3.
First-principles (GGA-PBE) data for a geometry-optimized Lu5Au structure, as listed in Alexandria via LeMat-Bulk.

Results
* space group: Cmmm (65)
* calculated volume: 26.2 Å³ per atom
* total energy: -26.8 eV per formula unit

Geometry as extended XYZ:
```
6
Lattice="4.779 0.000 0.000 0.000 4.454 0.000 0.000 -2.227 7.387" Properties=species:S:1:pos:R:3 pbc="T T T"
Lu 2.389 2.227 4.872
Lu 0.000 2.227 2.329
Lu 2.389 2.227 0.000
Lu 0.000 0.000 5.058
Lu 2.389 0.000 2.514
Au 0.000 0.000 0.000
```

=====

4.
First-principles (GGA-PBE) data for a geometry-optimized AcPmNiAg structure, as listed in Alexandria via LeMat-Bulk.

Results
* space group: F-43m (216)
* calculated volume: 26.0 Å³ per atom
* total energy: -18.1 eV per formula unit

Geometry as extended XYZ:
```
4
Lattice="5.277 0.000 0.000 2.639 4.570 0.000 2.639 1.523 4.309" Properties=species:S:1:pos:R:3 pbc="T T T"
Ni 7.916 4.570 3.232
Ac 5.277 3.047 2.155
Ag 2.639 1.523 1.077
Pm 0.000 0.000 0.000
```